[1]
DFT (GGA-PBE) results for an optimized crystal structure of PrGdAu2.

CIF file:
```
data_PrGdAu2
_space_group_name_H-M_alt 'P 1'
_space_group_IT_number 1
_space_group_name_Hall 'P 1'
_cell_length_a 4.749
_cell_length_b 5.923
_cell_length_c 5.923
_cell_angle_alpha 37.68
_cell_angle_beta 90.00
_cell_angle_gamma 90.00
loop_
_atom_site_label
_atom_site_type_symbol
_atom_site_fract_x
_atom_site_fract_y
_atom_site_fract_z
Au1 Au 0.500 0.088 0.088
Au2 Au 0.000 0.913 0.913
Pr1 Pr 0.500 0.361 0.361
Gd1 Gd 0.000 0.638 0.638
```

Computed properties:
As for the crystal system: orthorhombic. The value obtained for the energy relative to the elements is -0.8226 eV/atom.

---

[2]
DFT (GGA-PBE) results for an optimized crystal structure of PrGdAu2.

CIF file:
```
data_PrGdAu2
_space_group_name_H-M_alt 'P 1'
_space_group_IT_number 1
_space_group_name_Hall 'P 1'
_cell_length_a 4.792
_cell_length_b 5.800
_cell_length_c 7.367
_cell_angle_alpha 90.00
_cell_angle_beta 90.00
_cell_angle_gamma 90.00
loop_
_atom_site_label
_atom_site_type_symbol
_atom_site_fract_x
_atom_site_fract_y
_atom_site_fract_z
Au1 Au 0.500 0.604 0.960
Au2 Au 0.000 0.096 0.542
Au3 Au 0.500 0.396 0.460
Au4 Au 0.000 0.904 0.042
Gd1 Gd 0.500 0.106 0.814
Gd2 Gd 0.500 0.894 0.314
Pr1 Pr 0.000 0.394 0.184
Pr2 Pr 0.000 0.606 0.684
```

Computed properties:
As for the crystal system: orthorhombic. The value obtained for the energy relative to the elements is -0.8236 eV/atom.

---

[3]
DFT (GGA-PBE) results for an optimized crystal structure of PrGd3Au4.

CIF file:
```
data_PrGd3Au4
_space_group_name_H-M_alt 'P 1'
_space_group_IT_number 1
_space_group_name_Hall 'P 1'
_cell_length_a 5.758
_cell_length_b 4.755
_cell_length_c 7.312
_cell_angle_alpha 90.00
_cell_angle_beta 91.11
_cell_angle_gamma 90.00
loop_
_atom_site_label
_atom_site_type_symbol
_atom_site_fract_x
_atom_site_fract_y
_atom_site_fract_z
Gd1 Gd 0.856 0.500 0.683
Gd2 Gd 0.354 0.000 0.812
Gd3 Gd 0.143 0.000 0.317
Au1 Au 0.343 0.500 0.546
Au2 Au 0.151 0.500 0.037
Au3 Au 0.854 0.000 0.949
Au4 Au 0.654 0.000 0.470
Pr1 Pr 0.646 0.500 0.186
```

Computed properties:
As for the crystal system: monoclinic. The value obtained for the energy relative to the elements is -0.8450 eV/atom.